1.
## Zn2CuAg (SCAN)

Data for a PBEsol-optimized structure of Zn2CuAg.

It has space group Pmmm (No. 47), with a = 2.9543 Å, b = 2.9935 Å, c = 6.2079 Å, α = 90.00°, β = 90.00° and γ = 90.00°. The inequivalent atoms are Zn at (0.0000, 0.0000, 0.2240), Cu at (0.5000, 0.5000, 0.0000) and Ag at (0.5000, 0.5000, 0.5000).

Its electronic total energy is -73.84 eV per cell. As for the energy of formation: -0.06 eV per atom.

---

2.
## ZnCuAg2 (SCAN)

Data for a PBEsol-optimized structure of ZnCuAg2.

It has space group Pmm2 (No. 25), with a = 2.8168 Å, b = 3.7106 Å, c = 5.5970 Å, α = 90.00°, β = 90.00° and γ = 90.00°. The inequivalent atoms are Zn at (0.0000, 0.0000, 0.0000), Cu at (0.5000, 0.5000, 0.7754), Ag at (0.0000, 0.0000, 0.5323) and Ag at (0.5000, 0.5000, 0.2509).

Its electronic total energy is -91.33 eV per cell. As for the energy of formation: 0.03 eV per atom.

---

3.
## Zn2CuAg (SCAN)

Data for a PBEsol-optimized structure of Zn2CuAg.

It has space group Cmmm (No. 65), with a = 5.5064 Å, b = 7.3041 Å, c = 2.7562 Å, α = 90.00°, β = 90.00° and γ = 90.00°. The inequivalent atoms are Zn at (0.2500, 0.2500, 0.0000), Cu at (0.0000, 0.0000, 0.5000) and Ag at (0.0000, 0.5000, 0.5000).

Its electronic total energy is -147.26 eV per cell. As for the energy of formation: -0.01 eV per atom.

---

4.
## ZnCu2Ag (SCAN)

Data for a PBEsol-optimized structure of ZnCu2Ag.

It has space group Cm (No. 8), with a = 8.7611 Å, b = 2.7402 Å, c = 4.5247 Å, α = 90.00°, β = 102.78° and γ = 90.00°. The inequivalent atoms are Zn at (0.0000, 0.0000, 0.0000), Cu at (0.0143, 0.5000, 0.5294), Cu at (0.2554, 0.0000, 0.7618) and Ag at (0.2580, 0.5000, 0.2665).

Its electronic total energy is -150.34 eV per cell. As for the energy of formation: 0.03 eV per atom.

---

5.
## ZnCu2Ag (SCAN)

Data for a PBEsol-optimized structure of ZnCu2Ag.

It has space group F-43m (No. 216), with a = 5.9587 Å, b = 5.9587 Å, c = 5.9587 Å, α = 90.00°, β = 90.00° and γ = 90.00°. The inequivalent atoms are Zn at (0.0000, 0.0000, 0.0000), Cu at (0.0000, 0.0000, 0.5000), Cu at (0.2500, 0.2500, 0.2500) and Ag at (0.2500, 0.2500, 0.7500).

Its electronic total energy is -300.32 eV per cell. As for the energy of formation: 0.05 eV per atom.

---

6.
## ZrCuAg2 (SCAN)

Data for a PBEsol-optimized structure of ZrCuAg2.

It has space group P4mm (No. 99), with a = 3.0978 Å, b = 3.0978 Å, c = 6.9537 Å, α = 90.00°, β = 90.00° and γ = 90.00°. The inequivalent atoms are Zr at (0.0000, 0.0000, 0.0000), Cu at (0.5000, 0.5000, 0.7575), Ag at (0.0000, 0.0000, 0.5469) and Ag at (0.5000, 0.5000, 0.2938).

The polymorph energy (0 for the lowest one) comes out at 0 meV per atom. Its electronic total energy is -108.75 eV per cell. As for the energy of formation: -0.03 eV per atom.

---

7.
## Zr2CuAg (SCAN)

Data for a PBEsol-optimized structure of Zr2CuAg.

It has space group P4/mmm (No. 123), with a = 2.9758 Å, b = 2.9758 Å, c = 8.0228 Å, α = 90.00°, β = 90.00° and γ = 90.00°. The inequivalent atoms are Zr at (0.0000, 0.0000, 0.2302), Cu at (0.5000, 0.5000, 0.0000) and Ag at (0.5000, 0.5000, 0.5000).

The polymorph energy (0 for the lowest one) comes out at 54 meV per atom. Its electronic total energy is -108.30 eV per cell. As for the energy of formation: -0.08 eV per atom.

---

8.
## ZrCu2Ag2 (SCAN)

Data for a PBEsol-optimized structure of ZrCu2Ag2.

It has space group I4/mmm (No. 139), with a = 3.5677 Å, b = 3.5677 Å, c = 12.9970 Å, α = 90.00°, β = 90.00° and γ = 90.00°. The inequivalent atoms are Zr at (0.0000, 0.0000, 0.0000), Cu at (0.0000, 0.5000, 0.2500) and Ag at (0.0000, 0.0000, 0.3936).

Its electronic total energy is -245.74 eV per cell. As for the energy of formation: 0.19 eV per atom.

---

Question: Which formula does entry 3 have?
Answer: Zn2CuAg

---

Question: Which formula does entry 4 have?
Answer: ZnCu2Ag

---

Question: Among the records above, which one has the highest electronic total energy?
Answer: number 1

---

Question: Among the records above, which one has the highest electronic total energy?
Answer: number 1